Entry 1:
This record from the Alexandria database describes crystalline La2WBr at its relaxed geometry. The functional is PBE.

a b c (Å): 3.6406 5.6249 10.5295
angles (deg): 90.00 90.00 90.00
Space group Cmm2 (No. 35)
Asymmetric unit:
La 0.0000 0.0000 0.0000 (multiplicity 2)
La 0.0000 0.5000 0.3317 (multiplicity 2)
W 0.0000 0.0000 0.5357 (multiplicity 2)
Br 0.0000 0.5000 0.7672 (multiplicity 2)

Uncorrected formation energy   487 meV per atom



Entry 2:
This record from the Alexandria database describes crystalline TmPd2Pb at its relaxed geometry. The functional is PBE.

a b c (Å): 4.6568 4.6568 3.7661
angles (deg): 90.00 90.00 90.00
Space group P4/mmm (No. 123)
Asymmetric unit:
Tm 0.0000 0.0000 0.0000 (multiplicity 1)
Pd 0.0000 0.5000 0.5000 (multiplicity 2)
Pb 0.5000 0.5000 0.0000 (multiplicity 1)

Calculated formation energy   -616 meV per atom



Entry 3:
This record from the Alexandria database describes crystalline Pa2TeIr at its relaxed geometry. The functional is PBE.

a b c (Å): 4.0814 4.0814 22.0470
angles (deg): 90.00 90.00 120.00
Space group R-3m (No. 166, hexagonal axes)
Asymmetric unit:
Pa 0.0000 0.0000 0.2354 (multiplicity 6)
Te 0.0000 0.0000 0.0000 (multiplicity 3)
Ir 0.0000 0.0000 0.5000 (multiplicity 3)

Uncorrected formation energy   -786 meV per atom



Entry 4:
This record from the Alexandria database describes crystalline Ca7P2N2 at its relaxed geometry. The functional is PBE.

a b c (Å): 8.4484 9.3154 6.5033
angles (deg): 90.00 90.00 90.00
Space group Cmmm (No. 65)
Asymmetric unit:
Ca 0.0000 0.0000 0.0000 (multiplicity 2)
Ca 0.0000 0.5000 0.2207 (multiplicity 4)
Ca 0.2500 0.2500 0.2336 (multiplicity 8)
P 0.2390 0.0000 0.5000 (multiplicity 4)
N 0.0000 0.2725 0.0000 (multiplicity 4)

Uncorrected formation energy   -651 meV per atom



Entry 5:
This record from the Alexandria database describes crystalline Ca2PC at its relaxed geometry. The functional is PBE.

a b c (Å): 7.2165 7.2165 6.4329
angles (deg): 90.00 90.00 90.00
Space group I-42d (No. 122)
Asymmetric unit:
Ca 0.2078 0.2500 0.1250 (multiplicity 8)
P 0.0000 0.0000 0.5000 (multiplicity 4)
C 0.0000 0.0000 0.0000 (multiplicity 4)

Calculated formation energy   359 meV per atom



Entry 6:
This record from the Alexandria database describes crystalline RbMgCdBr2 at its relaxed geometry. The functional is PBE.

a b c (Å): 5.3268 5.3268 7.8364
angles (deg): 90.00 90.00 90.00
Space group P4/mmm (No. 123)
Asymmetric unit:
Rb 0.0000 0.0000 0.0000 (multiplicity 1)
Mg 0.0000 0.0000 0.5000 (multiplicity 1)
Cd 0.5000 0.5000 0.0000 (multiplicity 1)
Br 0.0000 0.5000 0.5000 (multiplicity 2)

Uncorrected formation energy   -581 meV per atom